Entry 1:
This record from the Alexandria database describes a relaxed Sc2CoAuN crystal. The functional is PBE-GGA.

Geometry as CIF:
```
data_Sc2CoAuN
_chemical_formula_sum 'Sc2 Co1 Au1 N1'
_cell_length_a 4.494
_cell_length_b 4.494
_cell_length_c 3.707
_cell_angle_alpha 90.00
_cell_angle_beta 90.00
_cell_angle_gamma 90.00
_symmetry_space_group_name_H-M 'P 4/m m m'
_symmetry_Int_Tables_number 123
_symmetry_space_group_name_Hall '-P 4 2'
loop_
_atom_site_label
_atom_site_type_symbol
_atom_site_fract_x
_atom_site_fract_y
_atom_site_fract_z
_atom_site_occupancy
Sc1 Sc 0.000 0.500 0.000 1
Co1 Co 0.000 0.000 0.500 1
Au1 Au 0.500 0.500 0.500 1
N1 N 0.000 0.000 0.000 1
```

Properties
- uncorrected formation energy (eV per atom) = -0.944
- Fermi-level density of states (states/eV per cell) = 2.2
- crystal system = tetragonal

***

Entry 2:
This record from the Alexandria database describes a relaxed CoAuSe2N crystal. The functional is PBE-GGA.

Geometry as CIF:
```
data_CoAuSe2N
_chemical_formula_sum 'Co1 Au1 Se2 N1'
_cell_length_a 5.302
_cell_length_b 5.302
_cell_length_c 3.725
_cell_angle_alpha 90.00
_cell_angle_beta 90.00
_cell_angle_gamma 90.00
_symmetry_space_group_name_H-M 'P 4/m m m'
_symmetry_Int_Tables_number 123
_symmetry_space_group_name_Hall '-P 4 2'
loop_
_atom_site_label
_atom_site_type_symbol
_atom_site_fract_x
_atom_site_fract_y
_atom_site_fract_z
_atom_site_occupancy
Co1 Co 0.000 0.000 0.000 1
Au1 Au 0.500 0.500 0.500 1
Se1 Se 0.000 0.500 0.500 1
N1 N 0.500 0.500 0.000 1
```

Properties
- uncorrected formation energy (eV per atom) = 1.396
- Fermi-level density of states (states/eV per cell) = 4.0
- relative energy among the computed polymorphs (eV/atom) = 0.924
- crystal system = tetragonal

***

Question: Among the records above, which one has the lowest uncorrected formation energy?
Answer: Sc2CoAuN